This record from the Alexandria database describes a crystal of TbZnSn relaxed with PBEsol. The functional is SCAN.

Cell: 4.559 4.559 7.217 Å, 90.00 90.00 120.00°
Sites, in units of the cell vectors:
Tb 0.000 0.000 0.000
Tb 0.000 0.000 0.500
Zn 0.333 0.667 0.250
Zn 0.667 0.333 0.750
Sn 0.333 0.667 0.750
Sn 0.667 0.333 0.250

Summary:
D(E_F)	1.176	states/eV/f.u.
calculated formation energy	-1.93	eV per formula unit


This record from the Alexandria database describes a crystal of YZr2Ni relaxed with PBEsol. The functional is SCAN.

Cell: 3.226 3.226 7.993 Å, 90.00 90.00 90.00°
Sites, in units of the cell vectors:
Y 0.000 0.000 0.000
Zr 0.000 0.000 0.587
Zr 0.500 0.500 0.327
Ni 0.500 0.500 0.761

Summary:
D(E_F)	3.512	states/eV/f.u.
calculated formation energy	-0.67	eV per formula unit


This record from the Alexandria database describes a crystal of Ga2SnGeS6 relaxed with PBEsol. The functional is SCAN.

Cell: 23.012 6.850 22.545 Å, 85.24 17.26 77.51°
Sites, in units of the cell vectors:
Ga 0.054 0.446 0.078
Ga 0.124 0.334 0.608
Ga 0.172 0.828 0.196
Ga 0.316 0.642 0.916
Ga 0.334 0.124 0.934
Ga 0.446 0.054 0.422
Ga 0.642 0.316 0.126
Ga 0.828 0.172 0.804
Sn 0.387 0.812 0.266
Sn 0.715 0.984 0.438
Sn 0.812 0.387 0.535
Sn 0.984 0.715 0.863
Ge 0.051 0.051 0.449
Ge 0.312 0.312 0.688
Ge 0.562 0.562 0.938
Ge 0.801 0.801 0.199
S 0.034 0.747 0.253
S 0.098 0.275 0.538
S 0.160 0.248 0.758
S 0.160 0.712 0.975
S 0.163 0.689 0.827
S 0.248 0.160 0.833
S 0.275 0.098 0.090
S 0.278 0.564 0.463
S 0.283 0.997 0.503
S 0.417 0.492 0.002
S 0.423 0.929 0.087
S 0.492 0.417 0.090
S 0.556 0.787 0.686
S 0.564 0.278 0.694
S 0.664 0.704 0.256
S 0.689 0.163 0.321
S 0.704 0.664 0.375
S 0.712 0.160 0.152
S 0.747 0.034 0.967
S 0.787 0.556 0.972
S 0.875 0.994 0.546
S 0.929 0.423 0.561
S 0.994 0.875 0.586
S 0.997 0.283 0.216

Summary:
formation energy (no corrections)	-0.548	eV/atom


This record from the Alexandria database describes a crystal of Rb3NbMo relaxed with PBEsol. The functional is SCAN.

Cell: 6.724 6.724 6.724 Å, 90.00 90.00 90.00°
Sites, in units of the cell vectors:
Rb 0.000 0.000 0.500
Rb 0.000 0.500 0.000
Rb 0.500 0.000 0.000
Nb 0.000 0.000 0.000
Mo 0.500 0.500 0.500

Summary:
D(E_F)	3.316	states/eV/f.u.
calculated formation energy	9.53	eV per formula unit


This record from the Alexandria database describes a crystal of BaLa2Ir relaxed with PBEsol. The functional is SCAN.

Cell: 4.207 4.207 29.969 Å, 90.00 90.00 120.00°
Sites, in units of the cell vectors:
Ba 0.000 0.000 0.000
Ba 0.333 0.667 0.667
Ba 0.667 0.333 0.333
La 0.000 0.000 0.216
La 0.000 0.000 0.784
La 0.333 0.667 0.451
La 0.333 0.667 0.883
La 0.667 0.333 0.117
La 0.667 0.333 0.549
Ir 0.000 0.000 0.500
Ir 0.333 0.667 0.167
Ir 0.667 0.333 0.833

Summary:
D(E_F)	3.384	states/eV/f.u.
calculated formation energy	-2.19	eV per formula unit


This record from the Alexandria database describes a crystal of RhPb3 relaxed with PBEsol. The functional is SCAN.

Cell: 3.431 3.431 9.623 Å, 90.00 90.00 120.00°
Sites, in units of the cell vectors:
Rh 0.000 0.000 0.000
Pb 0.000 0.000 0.500
Pb 0.667 0.333 0.201
Pb 0.667 0.333 0.799

Summary:
D(E_F)	1.999	states/eV/f.u.
calculated formation energy	0.34	eV per formula unit


What did we get for size of the total moment? Answer: 0.00, 0.00, 0.00, 11.27, 0.00, 0.00 μB/f.u., in the order shown.